(1)
The following is a PBE calculation of a relaxed La3Tb7Sm crystal, from the Alexandria database.

Values from the calculation:
**Energy relative to the elements**: 0.172 eV per atom
**Space-group type**: P3m1 (156)

a b c (Å): 8.8285 7.1408 7.1410
angles (deg): 120.00 90.01 90.00
With the nearest neighbours (Å) after each atom.
Element x y z (fractional)
Tb 0.1222 0.1672 0.8327  1 Sm 3.50, 8 Tb 3.51-3.58, 2 La 3.63
Tb 0.4436 0.8327 0.6654  7 Tb 3.49-3.59, 2 Sm 3.57, 2 La 3.64
Sm 0.4426 0.3333 0.6667  9 Tb 3.50-3.57, 3 La 3.65
Tb 0.4435 0.8326 0.1674  7 Tb 3.49-3.59, 2 Sm 3.57, 2 La 3.64
Tb 0.4435 0.3348 0.1674  7 Tb 3.49-3.59, 2 Sm 3.57, 2 La 3.64
Tb 0.1243 0.6667 0.3333  9 Tb 3.49-3.57, 3 La 3.64
La 0.7837 0.5002 0.0005  4 La 3.57-3.58, 5 Tb 3.63-3.64, 1 Sm 3.65
Tb 0.1221 0.1671 0.3342  1 Sm 3.50, 8 Tb 3.51-3.58, 2 La 3.63
La 0.7837 0.9996 0.4998  4 La 3.57-3.58, 5 Tb 3.63-3.64, 1 Sm 3.65
La 0.7837 0.5003 0.4998  4 La 3.57-3.58, 5 Tb 3.63-3.64, 1 Sm 3.65
Tb 0.1222 0.6656 0.8327  1 Sm 3.50, 8 Tb 3.51-3.58, 2 La 3.63

***

(2)
The following is a PBE calculation of a relaxed LaTb2Sm7 crystal, from the Alexandria database.

Values from the calculation:
**Energy relative to the elements**: 0.016 eV per atom
**Space-group type**: P-1 (2)

a b c (Å): 6.2848 8.1145 9.6225
angles (deg): 120.59 89.88 121.15
With the nearest neighbours (Å) after each atom.
Element x y z (fractional)
Sm 0.2981 0.6981 0.7980  7 Sm 3.60-3.66, 3 Tb 3.62-3.63, 2 La 3.63-3.64
Sm 0.7019 0.3019 0.2020  7 Sm 3.60-3.66, 3 Tb 3.62-3.63, 2 La 3.63-3.64
Sm 0.7970 0.1989 0.7978  2 Tb 3.60-3.62, 9 Sm 3.61-3.66, 1 La 3.65
Sm 0.2030 0.8011 0.2022  2 Tb 3.60-3.62, 9 Sm 3.61-3.66, 1 La 3.65
Tb 0.4018 0.6013 0.4013  10 Sm 3.60-3.64, 1 Tb 3.62, 1 La 3.63
Sm 0.5000 0.5000 0.0000  8 Sm 3.62-3.65, 2 La 3.63, 2 Tb 3.64
Sm 0.0989 0.8991 0.5985  7 Sm 3.60-3.64, 4 Tb 3.61-3.63, 1 La 3.64
La 0.0000 0.0000 0.0000  10 Sm 3.63-3.65, 2 Tb 3.63
Tb 0.5982 0.3987 0.5987  10 Sm 3.60-3.64, 1 Tb 3.62, 1 La 3.63
Sm 0.9011 0.1009 0.4015  7 Sm 3.60-3.64, 4 Tb 3.61-3.63, 1 La 3.64

***

(3)
The following is a PBE calculation of a relaxed La4Tb3Sm4 crystal, from the Alexandria database.

Values from the calculation:
**Energy relative to the elements**: 0.119 eV per atom
**Space-group type**: Immm (71)

a b c (Å): 3.6616 9.6327 12.2019
angles (deg): 113.25 98.63 90.00
With the nearest neighbours (Å) after each atom.
Element x y z (fractional)
Sm 0.5000 0.8124 0.0000  6 Tb 3.44-3.52, 2 La 3.50, 3 Sm 3.61-3.66
La 0.3548 0.5237 0.7096  1 La 3.25, 3 Sm 3.50-3.62
La 0.3548 0.1860 0.7096  1 La 3.25, 3 Sm 3.50-3.62
Tb 0.0000 0.5000 0.0000  4 Sm 3.52, 2 Tb 3.66
Sm 0.5000 0.1876 0.0000  6 Tb 3.44-3.52, 2 La 3.50, 3 Sm 3.61-3.66
La 0.6452 0.8140 0.2904  1 La 3.25, 3 Sm 3.50-3.62
Tb 0.1035 0.1035 0.2071  6 Sm 3.42-3.44, 2 Tb 3.66, 4 La 3.79
La 0.6452 0.4763 0.2904  1 La 3.25, 3 Sm 3.50-3.62
Sm 0.7342 0.2342 0.4683  2 Tb 3.42, 6 La 3.62-3.75, 2 Sm 3.66
Tb 0.8965 0.8965 0.7929  6 Sm 3.42-3.44, 2 Tb 3.66, 4 La 3.79
Sm 0.2658 0.7658 0.5317  2 Tb 3.42, 6 La 3.62-3.75, 2 Sm 3.66

***

(4)
The following is a PBE calculation of a relaxed La4Tb3Sm5 crystal, from the Alexandria database.

Values from the calculation:
**Energy relative to the elements**: 0.205 eV per atom
**Space-group type**: C2/m (12)

a b c (Å): 6.0508 8.7804 9.8365
angles (deg): 105.72 72.09 69.84
With the nearest neighbours (Å) after each atom.
Element x y z (fractional)
Sm 0.6283 0.9452 0.7983  2 Tb 3.33-3.55, 2 Sm 3.49-3.72, 2 La 3.73
La 0.8386 0.9455 0.3773  3 Tb 3.38-3.58, 3 La 3.67-3.72, 3 Sm 3.73-3.77
Sm 0.7816 0.5473 0.8894  4 Tb 3.27-3.58, 3 La 3.48-3.62
Tb 0.5184 0.6907 0.2724  3 Sm 3.14-3.33, 2 La 3.38-3.48
Sm 0.5000 0.5000 0.5000  4 Tb 3.03-3.14
La 0.8563 0.2272 0.0601  2 La 3.43-3.72, 6 Sm 3.48-3.81, 1 Tb 3.48
La 0.1437 0.7728 0.9399  2 La 3.43-3.72, 6 Sm 3.48-3.81, 1 Tb 3.48
Sm 0.3717 0.0548 0.2017  2 Tb 3.33-3.55, 2 Sm 3.49-3.72, 2 La 3.73
Tb 0.0000 0.5000 0.5000  2 Sm 3.03
Tb 0.4816 0.3093 0.7276  3 Sm 3.14-3.33, 2 La 3.38-3.48
La 0.1614 0.0545 0.6227  3 Tb 3.38-3.58, 3 La 3.67-3.72, 3 Sm 3.73-3.77
Sm 0.2184 0.4527 0.1106  4 Tb 3.27-3.58, 3 La 3.48-3.62

***

Magnetic moment for every record listed, in sequence, given in μB per formula unit: 0.00; 0.00; 0.00; 0.02.